A plane-wave DFT calculation with PBE with a Hubbard U was carried out for a geometry-optimized SrBi2MoO6 structure.

Cell and atoms, written as CIF:
```
data_SrBi2MoO6
_chemical_formula_sum 'Sr1 Bi2 Mo1 O6'
_cell_length_a 5.926
_cell_length_b 5.952
_cell_length_c 6.115
_cell_angle_alpha 90.04
_cell_angle_beta 118.57
_cell_angle_gamma 118.42
_symmetry_space_group_name_H-M 'P 1'
_symmetry_Int_Tables_number 1
_symmetry_space_group_name_Hall 'P 1'
loop_
_atom_site_label
_atom_site_type_symbol
_atom_site_fract_x
_atom_site_fract_y
_atom_site_fract_z
Sr1 Sr 0.000 0.000 0.000
Bi1 Bi 0.443 0.229 0.655
Bi2 Bi 0.446 0.712 0.173
Mo1 Mo 0.045 0.523 0.551
O1 O 0.178 0.770 0.346
O2 O 0.213 0.871 0.816
O3 O 0.495 0.606 0.823
O4 O 0.561 0.400 0.350
O5 O 0.968 0.182 0.370
O6 O 0.977 0.368 0.839
```

As for the raw total energy: -63.090 eV/cell. The volume comes out at 159.2 Å³ per cell. Its total magnetic moment is 2.0 Bohr magnetons per cell.